# VCr2MoO6 (PBE with a Hubbard U, optimized geometry)
# **Total energy**: -7.753 eV per atom
data_VCr2MoO6
_chemical_formula_sum 'V3 Cr6 Mo3 O18'
_space_group_name_H-M_alt 'R 3'
_space_group_IT_number 146
_space_group_name_Hall 'R 3'
_cell_length_a 5.2084
_cell_length_b 5.2084
_cell_length_c 14.0034
_cell_angle_alpha 90.00
_cell_angle_beta 90.00
_cell_angle_gamma 120.00
loop_
_atom_site_label
_atom_site_fract_x
_atom_site_fract_y
_atom_site_fract_z
_atom_site_occupancy
V1 0.0000 0.0000 0.0000 1
Cr1 0.0000 0.0000 0.2007 1
Cr2 0.0000 0.0000 0.6987 1
Mo1 0.0000 0.0000 0.5010 1
O1 0.0260 0.3508 0.2694 1
O2 0.0461 0.6849 0.7664 1